# 1
Material: ReBiSb3
Method: DFT, PBE
State: optimized geometry

Cell: 5.2138 5.2138 5.2138 Å, 90.00 90.00 90.00°
With the nearest neighbours (Å) after each atom.
Sites, in units of the cell vectors:
Re 0.0000 0.0000 0.0000  6 Sb 2.61
Bi 0.5000 0.5000 0.5000  12 Sb 3.69
Sb 0.0000 0.5000 0.0000  2 Re 2.61
Sb 0.0000 0.0000 0.5000  2 Re 2.61
Sb 0.5000 0.0000 0.0000  2 Re 2.61

Calculated values
Crystal system: cubic
ΔE_f (raw): 2.85 eV per formula unit
Symmetry: Pm-3m (221)
Energy: -5.1696 eV/atom
Total moment: 0.000 μB/f.u.
Excess energy over the best structure of this formula in the dataset: 0.000 eV per atom

=====

# 2
Material: ReBi2Sb
Method: DFT, PBE
State: optimized geometry

Cell: 6.6730 6.6730 7.9700 Å, 65.25 65.25 90.00°
With the nearest neighbours (Å) after each atom.
Sites, in units of the cell vectors:
Re 0.0000 0.0000 0.0000  4 Bi 2.66
Re 0.7500 0.2500 0.5000  4 Bi 2.66
Bi 0.6776 0.1250 0.2500  2 Re 2.66
Bi 0.0724 0.6250 0.2500  2 Re 2.66
Bi 0.3750 0.3224 0.7500  2 Re 2.66
Bi 0.8750 0.9276 0.7500  2 Re 2.66
Sb 0.5000 0.5000 0.0000  4 Bi 3.07
Sb 0.2500 0.7500 0.5000  4 Bi 3.07

Calculated values
Crystal system: tetragonal
ΔE_f (raw): 4.10 eV per formula unit
Symmetry: I-42d (122)
Energy: -5.0575 eV/atom
Total moment: 0.000 μB/f.u.